# 1
DFT (PBE) results for a relaxed structure of TbGdPu4.

Output
ΔE_f: 0.240 eV/atom
Space-group type: F-43m

Unit cell a=6.1961 b=6.1961 c=6.1961 alpha=60.00 beta=60.00 gamma=60.00
Positions (direct):
1 Gd 0.0000 0.0000 0.0000
2 Tb 0.2500 0.2500 0.2500
3 Pu 0.6248 0.6248 0.1255
4 Pu 0.6248 0.1255 0.6248
5 Pu 0.6248 0.6248 0.6248
6 Pu 0.1255 0.6248 0.6248

***

# 2
DFT (PBE) results for a relaxed structure of Na2Sb3Pt4.

Output
Energy relative to the elements, uncorrected: -0.43 eV per atom
Space-group type: Cmce

Unit cell a=6.4688 b=7.1899 c=8.7093 alpha=90.00 beta=111.80 gamma=90.00
Positions (direct):
1 Na 0.0870 0.5968 0.1740
2 Na 0.9130 0.4032 0.8260
3 Na 0.4130 0.0968 0.8260
4 Na 0.5870 0.9032 0.1740
5 Sb 0.0000 0.0000 0.0000
6 Sb 0.5000 0.5000 0.0000
7 Sb 0.5040 0.7500 0.5080
8 Sb 0.9960 0.2500 0.4920
9 Sb 0.4960 0.2500 0.4920
10 Sb 0.0040 0.7500 0.5080
11 Pt 0.6716 0.7500 0.8431
12 Pt 0.8284 0.2500 0.1569
13 Pt 0.3284 0.2500 0.1569
14 Pt 0.1716 0.7500 0.8431
15 Pt 0.1706 0.9863 0.3411
16 Pt 0.8294 0.0137 0.6589
17 Pt 0.3294 0.4863 0.6589
18 Pt 0.6706 0.5137 0.3411

***

# 3
DFT (PBE) results for a relaxed structure of Li3NpU2S6.

Output
Energy relative to the elements, uncorrected: -1.37 eV per atom
Space-group type: C2/m

Unit cell a=6.7028 b=6.7028 c=6.6415 alpha=99.69 beta=99.69 gamma=120.01
Positions (direct):
1 Li 0.1666 0.8334 0.5000
2 Li 0.8334 0.1666 0.5000
3 Li 0.5000 0.5000 0.5000
4 Np 0.0000 0.0000 0.0000
5 U 0.3334 0.6666 0.0000
6 U 0.6666 0.3334 0.0000
7 S 0.9145 0.5784 0.7435
8 S 0.7497 0.7497 0.2575
9 S 0.0855 0.4216 0.2565
10 S 0.5784 0.9145 0.7435
11 S 0.2503 0.2503 0.7425
12 S 0.4216 0.0855 0.2565

***

# 4
DFT (PBE) results for a relaxed structure of Fe5ReNi2Mo2.

Output
ΔE_f: 0.197 eV/atom
Space-group type: P4/mbm

Unit cell a=3.8030 b=8.1124 c=8.1124 alpha=90.00 beta=90.00 gamma=90.00
Positions (direct):
1 Fe 0.5000 0.2046 0.0671
2 Fe 0.5000 0.7954 0.9329
3 Fe 0.5000 0.0671 0.7954
4 Fe 0.5000 0.7046 0.4329
5 Fe 0.5000 0.9329 0.2046
6 Fe 0.5000 0.2954 0.5671
7 Fe 0.5000 0.5671 0.7046
8 Fe 0.5000 0.4329 0.2954
9 Fe 0.5000 0.5000 0.0000
10 Fe 0.5000 0.0000 0.5000
11 Re 0.0000 0.0000 0.0000
12 Re 0.0000 0.5000 0.5000
13 Ni 0.0000 0.1161 0.6161
14 Ni 0.0000 0.8839 0.3839
15 Ni 0.0000 0.6161 0.8839
16 Ni 0.0000 0.3839 0.1161
17 Mo 0.0000 0.6790 0.1790
18 Mo 0.0000 0.3210 0.8210
19 Mo 0.0000 0.1790 0.3210
20 Mo 0.0000 0.8210 0.6790